[1]
The following is a GGA-PBE calculation of an optimized crystal structure of NbCoNi, from OQMD.

Output
- raw total energy (eV/atom) = -7.13
- energy of formation (eV per formula unit) = 1.368

a b c (Å): 5.688 5.688 5.688
angles (deg): 90.00 90.00 90.00
Space group F-43m (No. 216)
One atom of each set of equivalent atoms:
Nb  0.000  0.000  0.000 [4 per cell]
Co  0.250  0.250  0.250 [4 per cell]
Ni  0.250  0.250  0.750 [4 per cell]


[2]
The following is a GGA-PBE calculation of an optimized crystal structure of NbTlCoNi, from OQMD.

Output
- raw total energy (eV/atom) = -6.12

a b c (Å): 6.221 6.221 6.221
angles (deg): 90.00 90.00 90.00
Space group F-43m (No. 216)
One atom of each set of equivalent atoms:
Nb  0.000  0.000  0.000 [4 per cell]
Tl  0.000  0.000  0.500 [4 per cell]
Co  0.250  0.250  0.750 [4 per cell]
Ni  0.250  0.250  0.250 [4 per cell]


[3]
The following is a GGA-PBE calculation of an optimized crystal structure of NbTlCoNi, from OQMD.

Output
- raw total energy (eV/atom) = -5.86

a b c (Å): 6.301 6.301 6.301
angles (deg): 90.00 90.00 90.00
Space group F-43m (No. 216)
One atom of each set of equivalent atoms:
Nb  0.000  0.000  0.000 [4 per cell]
Tl  0.250  0.250  0.250 [4 per cell]
Co  0.250  0.250  0.750 [4 per cell]
Ni  0.000  0.000  0.500 [4 per cell]


[4]
The following is a GGA-PBE calculation of an optimized crystal structure of NbZnCoNi, from OQMD.

Output
- raw total energy (eV/atom) = -6.18
- energy of formation (eV per formula unit) = -0.686

a b c (Å): 5.943 5.943 5.943
angles (deg): 90.00 90.00 90.00
Space group F-43m (No. 216)
One atom of each set of equivalent atoms:
Nb  0.000  0.000  0.000 [4 per cell]
Zn  0.000  0.000  0.500 [4 per cell]
Co  0.250  0.250  0.750 [4 per cell]
Ni  0.250  0.250  0.250 [4 per cell]


Volume? In order: 184.0; 240.8; 250.1; 209.9 Å³/cell.
E above lowest polymorph? In order: 0.1803; 0.0000; 0.2615; 0.0000 eV per atom.